A relaxed HfTe2AsRh crystal. Source: Alexandria, functional PBE-GGA.

Values from the calculation:
Its electronic total energy is -5.027 eV per atom. As for the theoretical density: 6.66 Mg/m³.

Geometry as CIF:
```
data_HfTe2AsRh
_cell_length_a 5.4834
_cell_length_b 5.4834
_cell_length_c 5.0726
_cell_angle_alpha 90.00
_cell_angle_beta 90.00
_cell_angle_gamma 90.00
_symmetry_space_group_name_H-M 'P 4/m m m'
_symmetry_Int_Tables_number 123
_symmetry_space_group_name_Hall '-P 4 2'
loop_
_atom_site_label
_atom_site_type_symbol
_atom_site_fract_x
_atom_site_fract_y
_atom_site_fract_z
Hf1 Hf 0.0000 0.0000 0.0000
Te1 Te 0.0000 0.5000 0.0000
As1 As 0.0000 0.0000 0.5000
Rh1 Rh 0.5000 0.5000 0.5000
```